A relaxed LiMg2Pt crystal. Source: OQMD, functional GGA-PBE.

Volume = 66.5 Å³/cell
Energy above the lowest structure with this stoichiometry = 112 meV per atom
Density = 6.26 Mg/m³

POSCAR file:
```
LiMg2Pt
1.0
-2.9152 2.9216 -1.1734
1.0002 -0.6569 -4.1206
-2.5123 -2.5861 -0.1975
Mg Pt Li
2 1 1
Direct
0.0000 0.5000 0.5000
0.5000 0.0000 0.5000
0.5000 0.5000 0.0000
0.0000 0.0000 0.0000
```

=====

A relaxed Tc2B crystal. Source: OQMD, functional GGA-PBE.

Volume = 86.9 Å³/cell
Energy above the lowest structure with this stoichiometry = 0 meV per atom
Density = 7.90 Mg/m³

POSCAR file:
```
Tc2B
1.0
0.2334 0.3934 4.9506
-3.9561 -1.1672 2.7757
0.0619 -4.0948 2.8189
Tc B
4 2
Direct
0.6250 0.1250 0.6250
0.6250 0.6250 0.6250
0.6250 0.6250 0.1250
0.1250 0.6250 0.6250
0.0000 0.0000 0.0000
0.2500 0.2500 0.2500
```

=====

A relaxed Cu2NiAg crystal. Source: OQMD, functional GGA-PBE.

E_form = 0.166 eV per atom
Volume = 52.4 Å³/cell
Density = 9.31 Mg/m³

POSCAR file:
```
Cu2NiAg
1.0
2.1001 1.2125 3.4294
-2.1001 1.2125 3.4294
0.0000 -2.4249 3.4294
Ni Ag Cu
1 1 2
Direct
0.0000 0.0000 0.0000
0.2500 0.2500 0.2500
0.7500 0.7500 0.7500
0.5000 0.5000 0.5000
```

=====

A relaxed RbSmGd crystal. Source: OQMD, functional GGA-PBE.

Volume = 154.4 Å³/cell
Energy above the lowest structure with this stoichiometry = 0 meV per atom
Density = 4.23 Mg/m³

POSCAR file:
```
RbSmGd
1.0
1.3685 -2.2961 5.3954
0.4408 3.6223 4.7895
-4.1791 -0.2118 4.3296
Rb Sm Gd
1 1 1
Direct
0.2500 0.2500 0.2500
0.7500 0.7500 0.7500
0.0000 0.0000 0.0000
```

=====

A relaxed BeCoPdPb crystal. Source: OQMD, functional GGA-PBE.

Volume = 59.2 Å³/cell
Energy above the lowest structure with this stoichiometry = 0 meV per atom
Density = 10.70 Mg/m³

POSCAR file:
```
BeCoPdPb
1.0
1.9878 -3.6168 1.4505
-2.3088 -3.0823 2.0749
-0.7609 -3.8437 -1.9451
Be Pd Co Pb
1 1 1 1
Direct
0.5000 0.5000 0.5000
0.2500 0.2500 0.2500
0.7500 0.7500 0.7500
0.0000 0.0000 0.0000
```

=====

A relaxed TlCoAgS3 crystal. Source: OQMD, functional GGA-PBE.

Total energy = -4.199 eV per atom
Volume = 237.8 Å³/cell
Density = 6.53 Mg/m³

POSCAR file:
```
TlCoAgS3
1.0
7.0557 -1.7080 0.0000
7.0557 1.7080 0.0000
0.0000 0.0000 9.8679
S Co Ag Tl
6 2 2 2
Direct
0.0266 0.0266 0.2500
0.9734 0.9734 0.7500
0.6046 0.6046 0.9932
0.6046 0.6046 0.5068
0.3954 0.3954 0.0068
0.3954 0.3954 0.4932
0.0000 0.0000 0.0000
0.0000 0.0000 0.5000
0.6288 0.6288 0.7500
0.3712 0.3712 0.2500
0.3022 0.3022 0.7500
0.6978 0.6978 0.2500
```

=====

A relaxed Hf4AlC2Se crystal. Source: OQMD, functional GGA-PBE.

Total energy = -9.115 eV per atom
Volume = 130.6 Å³/cell
Density = 10.73 Mg/m³

POSCAR file:
```
Hf4AlC2Se
1.0
3.3542 0.0000 0.0000
-1.6771 2.9048 0.0000
0.0000 0.0000 13.4025
Se C Al Hf
1 2 1 4
Direct
0.3333 0.6667 0.5000
0.6667 0.3333 0.2638
0.6667 0.3333 0.7362
0.0000 0.0000 0.0000
0.0000 0.0000 0.3542
0.3333 0.6667 0.1724
0.3333 0.6667 0.8276
0.0000 0.0000 0.6458
```

=====

A relaxed Be2BiMo crystal. Source: OQMD, functional GGA-PBE.

Total energy = -4.546 eV per atom
Volume = 63.8 Å³/cell
Density = 8.41 Mg/m³

POSCAR file:
```
Be2BiMo
1.0
-4.1598 -1.4142 -0.8997
-3.3925 2.9316 -0.1006
-1.9331 1.0595 -3.9057
Mo Be Bi
1 2 1
Direct
0.2500 0.2500 0.2500
0.7500 0.7500 0.7500
0.0000 0.0000 0.0000
0.5000 0.5000 0.5000
```